Below is Pm2Mg3Zn4 after structural relaxation, with properties calculated at the PBE-GGA level.

a b c (Å): 6.055 7.676 8.976
angles (deg): 90.00 109.71 90.00
Fractional coordinates of all 18 atoms:
Zn: 0.338 0.486 0.675
Zn: 0.838 0.014 0.675
Mg: 0.000 0.000 0.000
Mg: 0.514 0.750 0.528
Pm: 0.403 0.101 0.806
Zn: 0.679 0.750 0.858
Zn: 0.821 0.250 0.142
Mg: 0.986 0.250 0.472
Zn: 0.179 0.750 0.858
Mg: 0.014 0.750 0.528
Mg: 0.486 0.250 0.472
Pm: 0.597 0.899 0.194
Zn: 0.662 0.514 0.325
Mg: 0.500 0.500 0.000
Zn: 0.162 0.986 0.325
Pm: 0.097 0.601 0.194
Zn: 0.321 0.250 0.142
Pm: 0.903 0.399 0.806

Summary:
Mass density ... 5.281 Mg/m³
Energy relative to the elements ... -18 kJ/mol of atoms
Crystal system ... orthorhombic
Symmetry ... Cmce
Polymorph energy (0 for the lowest one) ... 72 meV/atom